(1)
Computed, not measured: an optimized crystal structure of Be2RhPb at the PBEsol level of DFT.

Values from the calculation:
SG	F-43m
electronic total energy	-4.608	eV/atom
D(E_F)	0.40	states/eV/atom
energy relative to the elements	0.4266	eV per atom

The structure in POSCAR format:
```
Be2RhPb
1.0
4.3107 0.0000 0.0000
2.1553 3.7331 0.0000
2.1553 1.2444 3.5196
Pb Be Rh
1 2 1
Direct
0.5000 0.5000 0.5000
0.0000 0.0000 0.0000
0.7500 0.7500 0.7500
0.2500 0.2500 0.2500
```


(2)
Computed, not measured: an optimized crystal structure of Tl2FeRh at the PBEsol level of DFT.

Values from the calculation:
excess energy over the best structure of this formula in the dataset	0.0	meV per atom
SG	P4mm
electronic total energy	-5.301	eV/atom
D(E_F)	1.02	states/eV/atom
energy relative to the elements	0.2899	eV per atom

The structure in POSCAR format:
```
Tl2FeRh
1.0
3.0750 0.0000 0.0000
0.0000 3.0750 0.0000
0.0000 0.0000 7.9864
Fe Rh Tl
1 1 2
Direct
0.0000 0.0000 0.5437
0.5000 0.5000 0.7024
0.0000 0.0000 0.9515
0.5000 0.5000 0.3025
```


(3)
Computed, not measured: an optimized crystal structure of CdAu2Cl at the PBEsol level of DFT.

Values from the calculation:
uncorrected formation energy	0.02	eV/atom
excess energy over the best structure of this formula in the dataset	40.9	meV per atom
SG	R-3m
electronic total energy	-2.747	eV/atom
D(E_F)	0.31	states/eV/atom

The structure in POSCAR format:
```
CdAu2Cl
1.0
3.1919 0.0000 0.0000
1.5959 2.7642 0.0000
1.5959 0.9214 8.4215
Cl Au Cd
1 2 1
Direct
0.0000 0.0000 0.0000
0.2498 0.2498 0.2505
0.7502 0.7502 0.7495
0.5000 0.5000 0.5000
```


(4)
Computed, not measured: an optimized crystal structure of SnSbRhAu2 at the PBEsol level of DFT.

Values from the calculation:
uncorrected formation energy	1.28	eV/atom
SG	P4/mmm
electronic total energy	-3.680	eV/atom
D(E_F)	1.44	states/eV/atom

The structure in POSCAR format:
```
SnSbRhAu2
1.0
4.9452 0.0000 0.0000
0.0000 4.9452 0.0000
0.0000 0.0000 5.5402
Sb Au Sn Rh
1 2 1 1
Direct
0.0000 0.0000 0.5000
0.0000 0.5000 0.0000
0.5000 0.0000 0.0000
0.0000 0.0000 0.0000
0.5000 0.5000 0.5000
```


(5)
Computed, not measured: an optimized crystal structure of Zr2IrAu at the PBEsol level of DFT.

Values from the calculation:
SG	Amm2
electronic total energy	-8.708	eV/atom
D(E_F)	0.54	states/eV/atom
energy relative to the elements	-0.7261	eV per atom

The structure in POSCAR format:
```
Zr2IrAu
1.0
-2.4871 -1.8443 1.2285
-0.9242 -1.4233 -4.0076
4.5131 -3.0497 0.0422
Ir Au Zr
1 1 2
Direct
0.6563 0.5000 0.3126
0.8378 0.0000 0.6757
0.1093 0.0000 0.2185
0.3985 0.5000 0.7970
```


(6)
Computed, not measured: an optimized crystal structure of BeGa3P at the PBEsol level of DFT.

Values from the calculation:
SG	Pm-3m
electronic total energy	-3.573	eV/atom
D(E_F)	0.52	states/eV/atom
energy relative to the elements	0.3893	eV per atom

The structure in POSCAR format:
```
BeGa3P
1.0
-0.5972 -3.5123 2.5420
3.0275 1.4990 2.7824
-3.1036 2.1381 2.2251
P Ga Be
1 3 1
Direct
0.5000 0.5000 0.5000
0.0000 0.5000 0.0000
0.0000 0.0000 0.5000
0.5000 0.0000 0.0000
0.0000 0.0000 0.0000
```


(7)
Computed, not measured: an optimized crystal structure of MgSe2N at the PBEsol level of DFT.

Values from the calculation:
uncorrected formation energy	0.84	eV/atom
SG	R-3m
electronic total energy	-3.643	eV/atom
D(E_F)	0.69	states/eV/atom

The structure in POSCAR format:
```
MgSe2N
1.0
3.1138 0.0000 0.0000
1.5569 2.6966 0.0000
1.5569 0.8989 8.4102
Mg Se N
1 2 1
Direct
0.0000 0.0000 0.0000
0.8907 0.8907 0.3278
0.1093 0.1093 0.6722
0.5000 0.5000 0.5000
```


(8)
Computed, not measured: an optimized crystal structure of MnBe2Os at the PBEsol level of DFT.

Values from the calculation:
SG	Cmmm
electronic total energy	-7.310	eV/atom
D(E_F)	0.66	states/eV/atom
energy relative to the elements	0.1838	eV per atom

The structure in POSCAR format:
```
MnBe2Os
1.0
2.5165 -0.0258 0.0000
-0.9460 2.3321 0.0000
0.0000 0.0000 7.4058
Be Mn Os
2 1 1
Direct
0.0000 0.0000 0.2586
0.0000 0.0000 0.7414
0.5000 0.5000 0.5000
0.5000 0.5000 0.0000
```